[1]
Density functional theory data (PBE) for a relaxed ThPaRuS crystal.

Cell and atoms, written as POSCAR:
```
ThPaRuS
1.0
-2.124 2.263 2.345
2.119 -2.901 1.492
6.386 3.997 -1.298
Th Pa Ru S
1 1 1 1
direct
0.958 0.377 0.351 Th
0.321 0.558 0.895 Pa
0.121 0.958 0.094 Ru
0.478 0.137 0.630 S
```

Results
- Formation energy (no corrections): -0.94 eV/atom
- Spin magnetization: 0.000 μB/cell
- Volume: 23.94 A^3/atom
- Density of states at the Fermi level: 1.332 states/eV per atom

---

[2]
Density functional theory data (PBE) for a relaxed Mg2NiPt crystal.

Cell and atoms, written as POSCAR:
```
Mg2NiPt
1.0
-2.857 2.447 -2.556
-1.074 -4.176 -1.447
-2.067 -0.202 2.117
Mg Ni Pt
2 1 1
direct
0.000 0.000 0.000 Mg
0.500 0.500 0.000 Mg
0.500 0.000 0.500 Ni
0.000 0.500 0.500 Pt
```

Results
- Energy relative to the elements: -521 meV/atom
- Spin magnetization: 0.000 μB/cell
- Volume: 15.12 A^3/atom
- Density of states at the Fermi level: 0.175 states/eV per atom

---

[3]
Density functional theory data (PBE) for a relaxed Pm4SmDy2Er2 crystal.

Cell and atoms, written as POSCAR:
```
Pm4SmDy2Er2
1.0
-3.087 -3.969 -0.637
6.350 -0.927 -4.835
2.071 -2.773 7.243
Pm Sm Dy Er
4 1 2 2
direct
0.777 0.554 0.668 Pm
0.223 0.446 0.332 Pm
0.554 0.109 0.332 Pm
0.446 0.891 0.668 Pm
0.000 0.000 0.000 Sm
0.889 0.777 0.332 Dy
0.111 0.223 0.668 Dy
0.332 0.664 0.000 Er
0.668 0.336 0.000 Er
```

Results
- Energy relative to the elements: 18 meV/atom
- Spin magnetization: 0.000 μB/cell
- Volume: 32.71 A^3/atom
- Density of states at the Fermi level: 1.429 states/eV per atom

---

[4]
Density functional theory data (PBE) for a relaxed La7SiBi2N2 crystal.

Cell and atoms, written as POSCAR:
```
La7SiBi2N2
1.0
5.015 -0.002 0.014
0.004 5.016 0.013
2.481 2.476 13.424
La Si Bi N
7 1 2 2
direct
0.500 0.500 0.000 La
0.309 0.309 0.380 La
0.691 0.691 0.620 La
0.913 0.414 0.173 La
0.414 0.913 0.173 La
0.586 0.087 0.827 La
0.087 0.586 0.827 La
0.000 0.000 0.000 Si
0.818 0.818 0.363 Bi
0.182 0.182 0.637 Bi
0.599 0.599 0.803 N
0.401 0.401 0.197 N
```

Results
- Formation energy (no corrections): -0.96 eV/atom
- Spin magnetization: 0.000 μB/cell
- Volume: 28.11 A^3/atom
- Density of states at the Fermi level: 0.504 states/eV per atom

---

[5]
Density functional theory data (PBE) for a relaxed BePI2O crystal.

Cell and atoms, written as POSCAR:
```
BePI2O
1.0
5.565 0.000 0.000
0.000 5.565 0.000
0.000 0.000 3.560
I P O Be
2 1 1 1
direct
0.000 0.500 0.000 I
0.500 0.000 0.000 I
0.000 0.000 0.000 P
0.000 0.000 0.500 O
0.500 0.500 0.500 Be
```

Results
- Energy above the most stable polymorph in this dataset: 0.551 eV per atom
- Formation energy (no corrections): 0.30 eV/atom
- Spin magnetization: 0.000 μB/cell
- Volume: 22.05 A^3/atom
- Density of states at the Fermi level: 0.223 states/eV per atom

---

[6]
Density functional theory data (PBE) for a relaxed Ba2VRe2 crystal.

Cell and atoms, written as POSCAR:
```
Ba2VRe2
1.0
6.476 0.000 0.000
0.000 6.476 0.000
0.000 0.000 5.842
Re Ba V
4 4 2
direct
0.366 0.866 0.000 Re
0.866 0.634 0.000 Re
0.634 0.134 0.000 Re
0.134 0.366 0.000 Re
0.180 0.680 0.500 Ba
0.680 0.820 0.500 Ba
0.820 0.320 0.500 Ba
0.320 0.180 0.500 Ba
0.000 0.000 0.000 V
0.500 0.500 0.000 V
```

Results
- Energy above the most stable polymorph in this dataset: 0.000 eV per atom
- Energy relative to the elements: 917 meV/atom
- Spin magnetization: 0.391 μB/cell
- Volume: 24.50 A^3/atom
- Density of states at the Fermi level: 1.243 states/eV per atom

---

[7]
Density functional theory data (PBE) for a relaxed SiTc3F crystal.

Cell and atoms, written as POSCAR:
```
SiTc3F
1.0
4.140 0.000 0.000
0.000 4.140 0.000
0.000 0.000 4.140
Si Tc F
1 3 1
direct
0.500 0.500 0.500 Si
0.000 0.500 0.000 Tc
0.000 0.000 0.500 Tc
0.500 0.000 0.000 Tc
0.000 0.000 0.000 F
```

Results
- Energy above the most stable polymorph in this dataset: 0.000 eV per atom
- Formation energy (no corrections): 0.89 eV/atom
- Spin magnetization: 2.276 μB/cell
- Volume: 14.19 A^3/atom
- Density of states at the Fermi level: 1.057 states/eV per atom

---

[8]
Density functional theory data (PBE) for a relaxed ScTa2S6 crystal.

Cell and atoms, written as POSCAR:
```
ScTa2S6
1.0
-0.666 -0.591 4.409
0.347 -6.308 1.501
7.270 -1.413 3.203
Sc Ta S
1 2 6
direct
0.000 0.500 0.500 Sc
0.165 0.782 0.889 Ta
0.835 0.218 0.111 Ta
0.698 0.655 0.948 S
0.302 0.345 0.052 S
0.979 0.829 0.214 S
0.355 0.681 0.610 S
0.021 0.171 0.786 S
0.645 0.319 0.390 S
```

Results
- Energy above the most stable polymorph in this dataset: 0.229 eV per atom
- Formation energy (no corrections): -0.99 eV/atom
- Spin magnetization: 0.000 μB/cell
- Volume: 22.92 A^3/atom
- Density of states at the Fermi level: 0.600 states/eV per atom

---

Copy entry 1 word for word.
Density functional theory data (PBE) for a relaxed ThPaRuS crystal.

Cell and atoms, written as POSCAR:
```
ThPaRuS
1.0
-2.124 2.263 2.345
2.119 -2.901 1.492
6.386 3.997 -1.298
Th Pa Ru S
1 1 1 1
direct
0.958 0.377 0.351 Th
0.321 0.558 0.895 Pa
0.121 0.958 0.094 Ru
0.478 0.137 0.630 S
```

Results
- Formation energy (no corrections): -0.94 eV/atom
- Spin magnetization: 0.000 μB/cell
- Volume: 23.94 A^3/atom
- Density of states at the Fermi level: 1.332 states/eV per atom

---

- Look up the density of states at the Fermi level of the seventh one.
  1.057 states/eV per atom

---

- Look up the volume of the sixth one.
  24.50 A^3/atom